Record 1
## AgGe2O2 (GGA-PBE)

Data for AgGe2O2 after structural relaxation.

Computed properties:
SG: P4/mbm (127)
Density, kg/m3: 5268
Excess energy over the best structure of this formula in the dataset, meV/atom: 0
Total energy, eV/atom: -4.90
Volume, Å³ per atom: 17.98

a = 7.853 Å, b = 7.853 Å, c = 2.915 Å
α = 90.00°, β = 90.00°, γ = 90.00°
Fractional coordinates of all 10 atoms:
Ag1 0.000 0.000 0.000
Ag2 0.500 0.500 0.000
Ge1 0.230 0.270 0.500
Ge2 0.270 0.770 0.500
Ge3 0.730 0.230 0.500
Ge4 0.770 0.730 0.500
O1 0.128 0.372 0.000
O2 0.372 0.872 0.000
O3 0.628 0.128 0.000
O4 0.872 0.628 0.000

=====

Record 2
## Ag3GeO (GGA-PBE)

Data for Ag3GeO after structural relaxation.

Computed properties:
SG: Pm-3m (221)
Density, kg/m3: 7522
Total energy, eV/atom: -3.38
Volume, Å³ per atom: 18.20

a = 4.498 Å, b = 4.498 Å, c = 4.498 Å
α = 90.00°, β = 90.00°, γ = 90.00°
Fractional coordinates of all 5 atoms:
Ag1 0.000 0.000 0.500
Ag2 0.000 0.500 0.000
Ag3 0.500 0.000 0.000
Ge1 0.500 0.500 0.500
O1 0.000 0.000 0.000

=====

Record 3
## AgGe2O2 (GGA-PBE)

Data for AgGe2O2 after structural relaxation.

Computed properties:
SG: I4/mmm (139)
Density, kg/m3: 5433
Excess energy over the best structure of this formula in the dataset, meV/atom: 253
Total energy, eV/atom: -4.65
Volume, Å³ per atom: 17.43

a = 5.266 Å, b = 5.266 Å, c = 5.266 Å
α = 128.42°, β = 128.42°, γ = 75.95°
Fractional coordinates of all 5 atoms:
Ag1 0.000 0.000 0.000
Ge1 0.250 0.750 0.500
Ge2 0.750 0.250 0.500
O1 0.257 0.257 0.000
O2 0.743 0.743 0.000

=====

Record 4
## AgGeO (GGA-PBE)

Data for AgGeO after structural relaxation.

Computed properties:
SG: P-1 (2)
Density, kg/m3: 5694
Total energy, eV/atom: -4.67
Volume, Å³ per atom: 19.10

a = 3.005 Å, b = 6.253 Å, c = 6.260 Å
α = 102.49°, β = 93.19°, γ = 90.62°
Fractional coordinates of all 6 atoms:
Ag1 0.228 0.003 0.310
Ag2 0.772 0.997 0.690
Ge1 0.251 0.299 0.046
Ge2 0.749 0.701 0.954
O1 0.232 0.518 0.840
O2 0.768 0.482 0.160

=====

Record 5
## AgGeO3 (GGA-PBE)

Data for AgGeO3 after structural relaxation.

Computed properties:
SG: Pm (6)
Density, kg/m3: 4795
Total energy, eV/atom: -5.39
Volume, Å³ per atom: 15.83

a = 4.999 Å, b = 3.181 Å, c = 9.955 Å
α = 90.00°, β = 90.03°, γ = 90.00°
Fractional coordinates of all 10 atoms:
Ag1 0.000 0.000 0.000
Ag2 0.004 0.000 0.500
Ge1 0.390 0.500 0.249
Ge2 0.614 0.500 0.749
O1 0.196 0.500 0.100
O2 0.199 0.500 0.400
O3 0.430 0.000 0.749
O4 0.574 0.000 0.249
O5 0.803 0.500 0.900
O6 0.809 0.500 0.601

=====

Record 6
## AgGe3O (GGA-PBE)

Data for AgGe3O after structural relaxation.

Computed properties:
SG: Pm-3m (221)
Density, kg/m3: 6417
Excess energy over the best structure of this formula in the dataset, meV/atom: 0
Total energy, eV/atom: -4.28
Volume, Å³ per atom: 17.69

a = 4.455 Å, b = 4.455 Å, c = 4.455 Å
α = 90.00°, β = 90.00°, γ = 90.00°
Fractional coordinates of all 5 atoms:
Ag1 0.000 0.000 0.000
Ge1 0.000 0.500 0.500
Ge2 0.500 0.000 0.500
Ge3 0.500 0.500 0.000
O1 0.500 0.500 0.500

=====

Record 7
## Ag5GeO4 (GGA-PBE)

Data for Ag5GeO4 after structural relaxation.

Computed properties:
SG: C2/m (12)
Density, kg/m3: 8203
Excess energy over the best structure of this formula in the dataset, meV/atom: 80
Total energy, eV/atom: -4.32
Volume, Å³ per atom: 13.68

a = 7.407 Å, b = 7.407 Å, c = 6.478 Å
α = 103.69°, β = 103.69°, γ = 23.37°
Fractional coordinates of all 10 atoms:
Ag1 0.000 0.000 0.000
Ag2 0.316 0.316 0.161
Ag3 0.333 0.333 0.723
Ag4 0.667 0.667 0.277
Ag5 0.684 0.684 0.839
Ge1 0.000 0.000 0.500
O1 0.133 0.133 0.533
O2 0.486 0.486 0.292
O3 0.514 0.514 0.708
O4 0.867 0.867 0.467

=====

Record 8
## AgGeO3 (GGA-PBE)

Data for AgGeO3 after structural relaxation.

Computed properties:
SG: Pm-3m (221)
Density, kg/m3: 5988
Total energy, eV/atom: -4.22
Volume, Å³ per atom: 12.67

a = 3.987 Å, b = 3.987 Å, c = 3.987 Å
α = 90.00°, β = 90.00°, γ = 90.00°
Fractional coordinates of all 5 atoms:
Ag1 0.000 0.000 0.000
Ge1 0.500 0.500 0.500
O1 0.000 0.000 0.500
O2 0.000 0.500 0.000
O3 0.500 0.000 0.000

=====

Record 9
## AgGeP2O8 (GGA-PBE)

Data for AgGeP2O8 after structural relaxation.

Computed properties:
SG: P-3 (147)
Density, kg/m3: 4258
Total energy, eV/atom: -6.42
Volume, Å³ per atom: 12.04

a = 4.759 Å, b = 4.759 Å, c = 7.366 Å
α = 90.00°, β = 90.00°, γ = 120.00°
Fractional coordinates of all 12 atoms:
Ag1 0.000 0.000 0.000
Ge1 0.000 0.000 0.500
P1 0.333 0.667 0.721
P2 0.667 0.333 0.279
O1 0.049 0.338 0.655
O2 0.289 0.951 0.655
O3 0.333 0.667 0.932
O4 0.338 0.289 0.345
O5 0.662 0.711 0.655
O6 0.667 0.333 0.068
O7 0.711 0.049 0.345
O8 0.951 0.662 0.345

=====

Record 10
## PaAgGeO5 (GGA-PBE)

Data for PaAgGeO5 after structural relaxation.

Computed properties:
SG: C2/c (15)
Density, kg/m3: 6090
Total energy, eV/atom: -7.42
Volume, Å³ per atom: 16.75

a = 6.077 Å, b = 6.077 Å, c = 8.340 Å
α = 108.64°, β = 108.64°, γ = 96.80°
Fractional coordinates of all 16 atoms:
Pa1 0.000 0.000 0.000
Pa2 0.000 0.000 0.500
Ag1 0.314 0.686 0.750
Ag2 0.686 0.314 0.250
Ge1 0.342 0.658 0.250
Ge2 0.658 0.342 0.750
O1 0.067 0.933 0.750
O2 0.196 0.741 0.405
O3 0.259 0.804 0.095
O4 0.274 0.342 0.136
O5 0.342 0.274 0.636
O6 0.658 0.726 0.364
O7 0.726 0.658 0.864
O8 0.741 0.196 0.905
O9 0.804 0.259 0.595
O10 0.933 0.067 0.250

=====

Record 11
## PaAgGe2O8 (GGA-PBE)

Data for PaAgGe2O8 after structural relaxation.

Computed properties:
SG: I-4m2 (119)
Density, kg/m3: 6321
Total energy, eV/atom: -6.79
Volume, Å³ per atom: 13.40

a = 5.934 Å, b = 5.934 Å, c = 5.934 Å
α = 108.87°, β = 108.87°, γ = 110.68°
Fractional coordinates of all 12 atoms:
Pa1 0.000 0.000 0.000
Ag1 0.250 0.750 0.500
Ge1 0.500 0.500 0.000
Ge2 0.750 0.250 0.500
O1 0.310 0.129 0.819
O2 0.310 0.491 0.181
O3 0.387 0.083 0.304
O4 0.509 0.690 0.819
O5 0.779 0.083 0.696
O6 0.871 0.690 0.181
O7 0.917 0.221 0.304
O8 0.917 0.613 0.696

=====

Record 12
## PaAgGe2O7 (GGA-PBE)

Data for PaAgGe2O7 after structural relaxation.

Computed properties:
SG: P4/mmm (123)
Density, kg/m3: 7146
Total energy, eV/atom: -6.84
Volume, Å³ per atom: 12.59

a = 3.548 Å, b = 3.548 Å, c = 11.003 Å
α = 90.00°, β = 90.00°, γ = 90.00°
Fractional coordinates of all 11 atoms:
Pa1 0.000 0.000 0.000
Ag1 0.000 0.000 0.500
Ge1 0.500 0.500 0.227
Ge2 0.500 0.500 0.773
O1 0.000 0.500 0.157
O2 0.000 0.500 0.843
O3 0.500 0.000 0.157
O4 0.500 0.000 0.843
O5 0.500 0.500 0.000
O6 0.500 0.500 0.381
O7 0.500 0.500 0.619